HoCr2InO8: relaxed, GGA+U.

```
data_HoCr2InO8
_space_group_name_H-M_alt 'I -4 m 2'
_space_group_IT_number 119
_space_group_name_Hall 'I -4 -2'
_cell_length_a 7.1013
_cell_length_b 7.1013
_cell_length_c 6.2661
_cell_angle_alpha 90.00
_cell_angle_beta 90.00
_cell_angle_gamma 90.00
loop_
_atom_site_label
_atom_site_fract_x
_atom_site_fract_y
_atom_site_fract_z
Ho1 0.0000 0.0000 0.0000
Cr1 0.0000 0.0000 0.5000
Cr2 0.0000 0.5000 0.7500
In1 0.0000 0.5000 0.2500
O1 0.0000 0.1868 0.3227
O2 0.0000 0.3141 0.9251
```

The value obtained for the raw total energy is -6.97 eV/atom. The calculation puts the density of states at the Fermi level at 0.39 states/eV/f.u. The total magnetization comes out at 4.00 μB/cell. As for the crystal system: tetragonal.